(1)
Cd2NiH6Ir: relaxed, GGA-PBE.

Geometry as POSCAR:
```
Cd2NiH6Ir
1.0
0.000 3.522 3.522
3.522 0.000 3.522
3.522 3.522 0.000
H Cd Ni Ir
6 2 1 1
Direct
0.252 0.748 0.748 H
0.252 0.748 0.252 H
0.252 0.252 0.748 H
0.748 0.252 0.748 H
0.748 0.748 0.252 H
0.748 0.252 0.252 H
0.750 0.750 0.750 Cd
0.250 0.250 0.250 Cd
0.500 0.500 0.500 Ni
0.000 0.000 0.000 Ir
```

Computed properties:
Total magnetization ... 0.00 μB per formula unit
E_tot ... -3.5024 eV per atom
Space group ... Fm-3m (225)


(2)
KCdP3H8O13: relaxed, GGA-PBE.

Geometry as POSCAR:
```
KCdP3H8O13
1.0
-3.362 -4.862 4.169
8.604 -6.979 1.472
5.267 5.716 11.496
K H O P Cd
4 32 52 12 4
Direct
0.031 0.310 0.308 K
0.490 0.657 0.054 K
0.969 0.690 0.692 K
0.510 0.343 0.946 K
0.382 0.309 0.146 H
0.800 0.482 0.077 H
0.787 0.456 0.606 H
0.023 0.605 0.349 H
0.200 0.518 0.923 H
0.299 0.953 0.109 H
0.977 0.395 0.651 H
0.095 0.180 0.512 H
0.213 0.544 0.394 H
0.487 0.901 0.160 H
0.740 0.359 0.129 H
0.905 0.820 0.488 H
0.701 0.047 0.891 H
0.662 0.987 0.664 H
0.081 0.728 0.465 H
0.849 0.120 0.445 H
0.635 0.821 0.880 H
0.919 0.272 0.535 H
0.660 0.886 0.598 H
0.340 0.114 0.402 H
0.252 0.002 0.562 H
0.260 0.641 0.871 H
0.748 0.998 0.438 H
0.813 0.503 0.844 H
0.513 0.099 0.840 H
0.365 0.179 0.120 H
0.851 0.593 0.917 H
0.149 0.407 0.083 H
0.187 0.497 0.156 H
0.618 0.691 0.854 H
0.151 0.880 0.555 H
0.338 0.013 0.336 H
0.653 0.871 0.485 O
0.799 0.899 0.900 O
0.907 0.003 0.093 O
0.379 0.874 0.129 O
0.829 0.793 0.129 O
0.650 0.954 0.213 O
0.538 0.768 0.869 O
0.009 0.118 0.739 O
0.866 0.373 0.617 O
0.198 0.410 0.149 O
0.885 0.623 0.031 O
0.621 0.126 0.871 O
0.202 0.931 0.600 O
0.967 0.212 0.491 O
0.624 0.330 0.308 O
0.376 0.670 0.692 O
0.702 0.429 0.079 O
0.991 0.882 0.261 O
0.858 0.349 0.851 O
0.350 0.046 0.787 O
0.395 0.859 0.363 O
0.605 0.141 0.637 O
0.602 0.498 0.411 O
0.033 0.788 0.509 O
0.693 0.704 0.385 O
0.106 0.812 0.818 O
0.696 0.594 0.617 O
0.142 0.651 0.149 O
0.462 0.232 0.131 O
0.134 0.627 0.383 O
0.398 0.502 0.589 O
0.894 0.188 0.182 O
0.529 0.630 0.247 O
0.916 0.202 0.000 O
0.201 0.101 0.100 O
0.084 0.798 0.000 O
0.347 0.129 0.515 O
0.331 0.103 0.332 O
0.871 0.548 0.294 O
0.304 0.406 0.383 O
0.430 0.708 0.510 O
0.115 0.377 0.969 O
0.307 0.296 0.615 O
0.798 0.069 0.400 O
0.570 0.292 0.490 O
0.471 0.370 0.753 O
0.171 0.207 0.871 O
0.298 0.571 0.921 O
0.129 0.452 0.706 O
0.802 0.590 0.851 O
0.669 0.897 0.668 O
0.093 0.997 0.907 O
0.511 0.380 0.389 P
0.992 0.127 0.102 P
0.323 0.407 0.676 P
0.677 0.593 0.324 P
0.489 0.620 0.611 P
0.846 0.909 0.184 P
0.541 0.795 0.435 P
0.459 0.205 0.565 P
0.008 0.873 0.898 P
0.988 0.705 0.078 P
0.154 0.091 0.816 P
0.012 0.295 0.922 P
0.257 0.756 0.262 Cd
0.743 0.244 0.738 Cd
0.380 0.858 0.732 Cd
0.620 0.142 0.268 Cd
```

Computed properties:
E_tot ... -5.8045 eV per atom
Space group ... P-1 (2)


(3)
K2CdH4Se2O10: relaxed, GGA-PBE.

Geometry as POSCAR:
```
K2CdH4Se2O10
1.0
-3.869 4.851 -2.033
-3.301 -1.969 -6.357
-10.534 -3.333 2.439
O H Se Cd K
20 8 4 2 4
Direct
0.372 0.095 0.809 O
0.821 0.913 0.948 O
0.695 0.676 0.777 O
0.230 0.715 0.272 O
0.770 0.285 0.728 O
0.039 0.410 0.870 O
0.628 0.905 0.191 O
0.117 0.649 0.547 O
0.869 0.124 0.304 O
0.305 0.324 0.223 O
0.961 0.590 0.130 O
0.325 0.946 0.451 O
0.131 0.876 0.696 O
0.555 0.662 0.075 O
0.675 0.054 0.549 O
0.494 0.384 0.386 O
0.179 0.087 0.052 O
0.506 0.616 0.614 O
0.445 0.338 0.925 O
0.883 0.351 0.453 O
0.656 0.314 0.804 H
0.169 0.431 0.208 H
0.361 0.340 0.292 H
0.302 0.625 0.343 H
0.344 0.686 0.196 H
0.831 0.569 0.792 H
0.698 0.375 0.657 H
0.639 0.660 0.708 H
0.265 0.767 0.576 Se
0.741 0.764 0.086 Se
0.259 0.236 0.914 Se
0.735 0.233 0.424 Se
0.247 0.029 0.252 Cd
0.753 0.971 0.748 Cd
0.801 0.748 0.403 K
0.199 0.252 0.597 K
0.730 0.269 0.076 K
0.270 0.731 0.924 K
```

Computed properties:
E_tot ... -4.9728 eV per atom
Space group ... P-1 (2)


(4)
KRb2CdH6: relaxed, GGA-PBE.

Geometry as POSCAR:
```
KRb2CdH6
1.0
-5.600 -2.397 0.985
-0.649 -0.956 -6.105
4.952 -2.517 2.947
Cd H Rb K
1 6 2 1
Direct
0.000 0.000 0.000 Cd
0.241 0.180 0.992 H
0.822 0.251 0.016 H
0.232 0.214 0.448 H
0.768 0.786 0.552 H
0.178 0.749 0.984 H
0.759 0.820 0.008 H
0.250 0.751 0.500 Rb
0.750 0.249 0.500 Rb
0.500 0.500 0.000 K
```

Computed properties:
E_tot ... -2.3383 eV per atom
Space group ... P-1 (2)


(5)
K2CdSbHS4: relaxed, GGA-PBE.

Geometry as POSCAR:
```
K2CdSbHS4
1.0
-2.387 -6.832 0.866
2.466 -0.328 7.181
-6.999 2.839 4.553
Sb Cd S H K
2 2 8 2 4
Direct
0.260 0.376 0.120 Sb
0.740 0.624 0.880 Sb
0.741 0.382 0.293 Cd
0.259 0.618 0.707 Cd
0.512 0.837 0.734 S
0.209 0.596 0.424 S
0.684 0.702 0.135 S
0.316 0.298 0.865 S
0.791 0.404 0.576 S
0.997 0.819 0.793 S
0.003 0.181 0.207 S
0.488 0.163 0.266 S
0.389 0.622 0.384 H
0.611 0.378 0.616 H
0.263 0.878 0.076 K
0.203 0.154 0.560 K
0.737 0.122 0.924 K
0.797 0.846 0.440 K
```

Computed properties:
E_tot ... -3.7471 eV per atom
Space group ... P-1 (2)


(6)
LiCd2HSe2O7: relaxed, GGA-PBE.

Geometry as POSCAR:
```
LiCd2HSe2O7
1.0
5.777 0.000 0.013
0.000 10.150 0.000
-0.064 0.000 11.417
Cd O Se H Li
8 28 8 4 4
Direct
0.634 0.404 0.105 Cd
0.634 0.096 0.605 Cd
0.144 0.612 0.212 Cd
0.856 0.388 0.788 Cd
0.144 0.888 0.712 Cd
0.366 0.596 0.895 Cd
0.366 0.904 0.395 Cd
0.856 0.112 0.288 Cd
0.960 0.250 0.124 O
0.922 0.743 0.099 O
0.207 0.008 0.242 O
0.363 0.767 0.037 O
0.922 0.757 0.599 O
0.275 0.481 0.065 O
0.510 0.723 0.276 O
0.793 0.508 0.258 O
0.960 0.250 0.624 O
0.637 0.233 0.963 O
0.078 0.243 0.401 O
0.510 0.777 0.776 O
0.725 0.519 0.935 O
0.490 0.277 0.724 O
0.725 0.981 0.435 O
0.363 0.733 0.537 O
0.637 0.267 0.463 O
0.275 0.019 0.565 O
0.490 0.223 0.224 O
0.367 0.497 0.349 O
0.633 0.503 0.651 O
0.793 0.992 0.758 O
0.040 0.750 0.376 O
0.633 0.997 0.151 O
0.207 0.492 0.742 O
0.078 0.257 0.901 O
0.040 0.750 0.876 O
0.367 0.003 0.849 O
0.386 0.408 0.643 Se
0.386 0.092 0.143 Se
0.614 0.592 0.357 Se
0.094 0.667 0.507 Se
0.906 0.333 0.493 Se
0.614 0.908 0.857 Se
0.906 0.167 0.993 Se
0.094 0.833 0.007 Se
0.824 0.597 0.945 H
0.824 0.903 0.445 H
0.176 0.403 0.055 H
0.176 0.097 0.555 H
0.622 0.807 0.139 Li
0.378 0.193 0.861 Li
0.378 0.307 0.361 Li
0.622 0.693 0.639 Li
```

Computed properties:
E_tot ... -4.8970 eV per atom
Space group ... P2_1/c (14)


(7)
LiCdHPd2: relaxed, GGA-PBE.

Geometry as POSCAR:
```
LiCdHPd2
1.0
-2.206 0.323 3.354
0.744 -3.863 0.862
3.263 1.084 2.042
Pd Li Cd H
2 1 1 1
Direct
0.500 0.000 0.000 Pd
0.000 0.500 0.000 Pd
0.000 0.000 0.500 Li
0.500 0.500 0.500 Cd
0.000 0.000 0.000 H
```

Computed properties:
E_tot ... -3.7467 eV per atom
Space group ... P4/mmm (123)


(8)
LiCdHPt2: relaxed, GGA-PBE.

Geometry as POSCAR:
```
LiCdHPt2
1.0
-0.947 3.457 1.788
-3.048 -1.803 1.872
2.452 -0.930 3.097
Pt Cd Li H
2 1 1 1
Direct
0.500 0.000 0.000 Pt
0.000 0.500 0.000 Pt
0.500 0.500 0.500 Cd
0.000 0.000 0.500 Li
0.000 0.000 0.000 H
```

Computed properties:
Total magnetization ... 0.00 μB per formula unit
E_tot ... -4.0825 eV per atom
Space group ... P4/mmm (123)


(9)
CdH18Se4N4O14: relaxed, GGA-PBE.

Geometry as POSCAR:
```
CdH18Se4N4O14
1.0
-3.428 3.371 3.073
1.032 -6.522 2.970
9.778 2.864 2.695
H O N Se Cd
18 14 4 4 1
Direct
0.041 0.729 0.521 H
0.602 0.738 0.340 H
0.131 0.586 0.809 H
0.124 0.639 0.399 H
0.159 0.886 0.409 H
0.064 0.390 0.897 H
0.876 0.361 0.601 H
0.362 0.814 0.523 H
0.398 0.262 0.660 H
0.936 0.610 0.103 H
0.383 0.524 0.889 H
0.753 0.370 0.023 H
0.638 0.186 0.477 H
0.841 0.114 0.591 H
0.959 0.271 0.479 H
0.869 0.414 0.191 H
0.617 0.476 0.111 H
0.247 0.630 0.977 H
0.716 0.845 0.116 O
0.250 0.316 0.132 O
0.237 0.817 0.100 O
0.393 0.468 0.639 O
0.284 0.155 0.884 O
0.393 0.118 0.656 O
0.607 0.882 0.344 O
0.066 0.379 0.335 O
0.326 0.128 0.354 O
0.607 0.532 0.361 O
0.934 0.621 0.665 O
0.763 0.183 0.900 O
0.674 0.872 0.646 O
0.750 0.684 0.868 O
0.791 0.468 0.106 N
0.832 0.233 0.539 N
0.209 0.532 0.894 N
0.168 0.767 0.461 N
0.313 0.338 0.298 Se
0.565 0.964 0.185 Se
0.435 0.036 0.815 Se
0.687 0.662 0.702 Se
0.000 0.000 0.000 Cd
```

Computed properties:
E_tot ... -5.0569 eV per atom
Space group ... P-1 (2)


(10)
Na2CdH4Se2O10: relaxed, GGA-PBE.

Geometry as POSCAR:
```
Na2CdH4Se2O10
1.0
-1.745 5.601 -1.009
-12.495 -4.008 -0.637
-0.067 -0.696 5.686
H Cd O Se Na
8 2 20 4 4
Direct
0.684 0.338 0.317 H
0.316 0.662 0.683 H
0.900 0.212 0.007 H
0.100 0.788 0.993 H
0.100 0.712 0.493 H
0.684 0.162 0.817 H
0.900 0.288 0.507 H
0.316 0.838 0.183 H
0.000 0.500 0.500 Cd
0.000 0.000 0.000 Cd
0.802 0.149 0.975 O
0.301 0.443 0.344 O
0.740 0.964 0.635 O
0.024 0.829 0.487 O
0.452 0.206 0.588 O
0.260 0.464 0.865 O
0.740 0.536 0.135 O
0.548 0.794 0.412 O
0.548 0.706 0.912 O
0.976 0.329 0.013 O
0.802 0.351 0.475 O
0.976 0.171 0.513 O
0.260 0.036 0.365 O
0.198 0.649 0.525 O
0.699 0.943 0.156 O
0.024 0.671 0.987 O
0.699 0.557 0.656 O
0.301 0.057 0.844 O
0.452 0.294 0.088 O
0.198 0.851 0.025 O
0.759 0.879 0.422 Se
0.241 0.379 0.078 Se
0.759 0.621 0.922 Se
0.241 0.121 0.578 Se
0.419 0.880 0.753 Na
0.419 0.620 0.253 Na
0.581 0.380 0.747 Na
0.581 0.120 0.247 Na
```

Computed properties:
E_tot ... -4.9693 eV per atom
Space group ... P2_1/c (14)


(11)
Rb2NaCdH6: relaxed, GGA-PBE.

Geometry as POSCAR:
```
Rb2NaCdH6
1.0
-3.000 3.000 4.270
3.000 -3.000 4.270
3.000 3.000 -4.270
H Rb Cd Na
6 2 1 1
Direct
0.230 0.772 0.002 H
0.233 0.233 0.000 H
0.228 0.230 0.458 H
0.770 0.228 0.998 H
0.772 0.770 0.542 H
0.767 0.767 0.000 H
0.250 0.750 0.500 Rb
0.750 0.250 0.500 Rb
0.000 0.000 0.000 Cd
0.500 0.500 0.000 Na
```

Computed properties:
E_tot ... -2.3950 eV per atom
Space group ... I4/m (87)


(12)
NbCd3H6: relaxed, GGA-PBE.

Geometry as POSCAR:
```
NbCd3H6
1.0
5.044 0.000 0.000
-2.522 4.368 0.000
0.000 0.000 5.551
H Cd Nb
6 3 1
Direct
0.000 0.354 0.892 H
0.646 0.000 0.108 H
0.000 0.646 0.108 H
0.354 0.000 0.892 H
0.354 0.354 0.108 H
0.646 0.646 0.892 H
0.667 0.333 0.500 Cd
0.333 0.667 0.500 Cd
0.000 0.000 0.500 Cd
0.000 0.000 0.000 Nb
```

Computed properties:
Total magnetization ... 0.00 μB per formula unit
E_tot ... -2.7412 eV per atom
Space group ... P-31m (162)